## Sb3TeW (GGA-PBE)

Data for an optimized crystal structure of Sb3TeW.

Calculated values
The total moment comes out at 0.00 μB per atom. The value obtained for the excess energy over the best structure of this formula in the dataset is 0 meV/atom. The volume is 144.67 Å³ per cell. As for the space group: Pm-3m (221). The value obtained for the uncorrected formation energy is 0.48 eV/atom.

Cell lengths 5.250, 5.250, 5.250 Å; angles 90.00, 90.00, 90.00 degrees
Fractional positions:
Te  0.500  0.500  0.500
Sb  0.000  0.500  0.000
Sb  0.000  0.000  0.500
Sb  0.500  0.000  0.000
W  0.000  0.000  0.000